Below is crystalline Np3Sc2TiN6 at its relaxed geometry, with properties calculated at the PBE level.

Unit cell a=5.6469 b=9.7853 c=5.7624 alpha=90.00 beta=109.11 gamma=90.00
Space group C2/m (No. 12)
Symmetry-distinct sites (fractional):
Np  0.0000  0.0000  0.0000 x2
Np  0.0000  0.3323  0.0000 x4
Sc  0.0000  0.1666  0.5000 x4
Ti  0.0000  0.5000  0.5000 x2
N  0.2391  0.3380  0.7302 x8
N  0.2468  0.5000  0.2672 x4

Results
* formation energy without anion corrections: -17.042 eV/f.u.
* uncorrected energy: -10.53 eV/atom
* crystal system: monoclinic